VASP calculation (PBE-GGA) on a relaxed structure of K2FeTc.

Results
Calculated volume (Å³/f.u.): 111.82
Energy of formation (eV/atom): 0.8233
Excess energy over the best structure of this formula in the dataset (eV per atom): 0.008

Structure (extended XYZ):
```
4
Lattice="3.287 0.010 0.000 -0.010 3.287 0.000 0.000 0.000 10.352" Properties=species:S:1:pos:R:3 pbc="T T T"
Fe 1.638 1.648 6.845
K 0.000 0.000 9.461
K 1.638 1.648 3.436
Tc 0.000 0.000 6.136
```

=====

VASP calculation (PBE-GGA) on a relaxed structure of KFeTc2.

Results
Calculated volume (Å³/f.u.): 76.99
Energy of formation (eV/atom): 0.8115
Excess energy over the best structure of this formula in the dataset (eV per atom): 0.064

Structure (extended XYZ):
```
4
Lattice="3.464 0.000 0.000 0.000 2.643 0.001 0.000 2.544 8.411" Properties=species:S:1:pos:R:3 pbc="T T T"
Fe 1.732 1.297 2.103
K 1.732 3.890 6.309
Tc 0.000 2.619 0.828
Tc 0.000 2.617 3.379
```

=====

VASP calculation (PBE-GGA) on a relaxed structure of KTiFe2Tc.

Results
Calculated volume (Å³/f.u.): 97.33
Energy of formation (eV/atom): 1.8649

Structure (extended XYZ):
```
5
Lattice="4.397 0.000 0.000 0.000 5.033 0.000 0.000 0.000 4.397" Properties=species:S:1:pos:R:3 pbc="T T T"
K 0.000 2.517 0.000
Ti 0.000 0.000 0.000
Tc 2.199 2.517 2.199
Fe 0.000 0.000 2.199
Fe 2.199 0.000 0.000
```

=====

VASP calculation (PBE-GGA) on a relaxed structure of K3FeTe.

Results
Calculated volume (Å³/f.u.): 293.67
Raw formation energy (eV per atom): 0.2351
Excess energy over the best structure of this formula in the dataset (eV per atom): 0.000

Structure (extended XYZ):
```
5
Lattice="6.647 0.000 0.000 0.000 6.647 0.000 0.000 0.000 6.647" Properties=species:S:1:pos:R:3 pbc="T T T"
K 0.000 3.323 0.000
K 0.000 0.000 3.323
K 3.323 0.000 0.000
Te 0.000 0.000 0.000
Fe 3.323 3.323 3.323
```

=====

VASP calculation (PBE-GGA) on a relaxed structure of KFeTe2.

Results
Calculated volume (Å³/f.u.): 115.37
Raw formation energy (eV per atom): -0.1536

Structure (extended XYZ):
```
4
Lattice="8.831 -0.071 0.021 7.318 4.943 -0.021 -8.027 -2.594 2.613" Properties=species:S:1:pos:R:3 pbc="T T T"
Fe 8.865 2.675 0.000
K 4.569 2.660 1.296
Te 15.833 4.777 0.000
Te 3.079 -0.525 1.317
```

=====

VASP calculation (PBE-GGA) on a relaxed structure of KFeTe2.

Results
Calculated volume (Å³/f.u.): 104.54
Raw formation energy (eV per atom): -0.0463

Structure (extended XYZ):
```
4
Lattice="-1.757 2.259 1.989 -2.364 0.282 -2.546 -4.474 -6.503 3.434" Properties=species:S:1:pos:R:3 pbc="T T T"
Fe -3.179 -0.355 0.580
K -5.416 -3.607 2.297
Te -0.255 -0.371 0.196
Te -1.982 -2.880 1.521
```

=====

VASP calculation (PBE-GGA) on a relaxed structure of KFe4Te.

Results
Calculated volume (Å³/f.u.): 102.84
Raw formation energy (eV per atom): 0.6395

Structure (extended XYZ):
```
6
Lattice="0.000 3.719 3.719 3.719 0.000 3.719 3.719 3.719 0.000" Properties=species:S:1:pos:R:3 pbc="T T T"
K 5.578 5.578 5.578
Fe 2.808 4.629 4.629
Fe 4.629 4.629 2.808
Fe 4.629 2.808 4.629
Fe 2.808 2.808 2.808
Te 0.000 0.000 0.000
```

=====

VASP calculation (PBE-GGA) on a relaxed structure of KFeTe2.

Results
Calculated volume (Å³/f.u.): 109.86
Raw formation energy (eV per atom): 0.1821

Structure (extended XYZ):
```
4
Lattice="5.863 0.000 0.000 0.000 5.862 0.000 0.000 0.000 3.196" Properties=species:S:1:pos:R:3 pbc="T T T"
Fe 2.932 0.000 1.598
K 0.000 2.931 1.598
Te 0.000 0.000 0.000
Te 2.932 2.931 0.000
```

=====

VASP calculation (PBE-GGA) on a relaxed structure of KFeTe2.

Results
Calculated volume (Å³/f.u.): 156.56
Raw formation energy (eV per atom): -0.1313

Structure (extended XYZ):
```
4
Lattice="4.563 0.000 0.000 0.000 5.435 0.134 0.000 0.856 6.335" Properties=species:S:1:pos:R:3 pbc="T T T"
Fe 0.000 1.920 3.240
K 2.281 4.656 5.034
Te 0.000 1.952 5.667
Te 2.281 1.763 2.096
```

=====

VASP calculation (PBE-GGA) on a relaxed structure of KFe3Te.

Results
Calculated volume (Å³/f.u.): 117.83
Raw formation energy (eV per atom): 1.0196
Excess energy over the best structure of this formula in the dataset (eV per atom): 0.000

Structure (extended XYZ):
```
5
Lattice="4.902 0.000 0.000 0.000 4.902 0.000 0.000 0.000 4.902" Properties=species:S:1:pos:R:3 pbc="T T T"
K 2.451 2.451 2.451
Te 0.000 0.000 0.000
Fe 0.000 2.451 0.000
Fe 0.000 0.000 2.451
Fe 2.451 0.000 0.000
```

=====

VASP calculation (PBE-GGA) on a relaxed structure of KFeTe2.

Results
Calculated volume (Å³/f.u.): 112.20
Raw formation energy (eV per atom): 0.5276

Structure (extended XYZ):
```
4
Lattice="5.414 0.000 0.000 2.707 4.688 0.000 2.707 1.563 4.420" Properties=species:S:1:pos:R:3 pbc="T T T"
Fe 5.414 3.126 2.210
K 8.121 4.688 3.315
Te 0.000 0.000 0.000
Te 2.707 1.563 1.105
```

=====

VASP calculation (PBE-GGA) on a relaxed structure of KFeTe2.

Results
Calculated volume (Å³/f.u.): 140.33
Raw formation energy (eV per atom): -0.2485

Structure (extended XYZ):
```
4
Lattice="4.053 0.000 0.000 0.000 5.208 -0.256 0.000 0.317 6.632" Properties=species:S:1:pos:R:3 pbc="T T T"
Fe 2.027 1.381 1.594
K 2.027 4.144 4.782
Te 0.000 1.307 -0.011
Te 0.000 1.456 3.199
```

=====

VASP calculation (PBE-GGA) on a relaxed structure of KFeTe2.

Results
Calculated volume (Å³/f.u.): 126.87
Raw formation energy (eV per atom): -0.2412

Structure (extended XYZ):
```
8
Lattice="7.800 0.000 0.000 0.000 7.800 0.000 3.900 3.900 4.171" Properties=species:S:1:pos:R:3 pbc="T T T"
K 3.900 3.900 0.000
K 3.900 7.800 2.085
Te 6.732 1.950 1.043
Te 1.068 5.850 1.043
Te 5.850 4.968 3.128
Te 9.750 10.632 3.128
Fe 0.000 0.000 0.000
Fe 7.800 3.900 2.085
```

=====

VASP calculation (PBE-GGA) on a relaxed structure of KFe3Te.

Results
Calculated volume (Å³/f.u.): 85.49
Raw formation energy (eV per atom): 2.7022
Excess energy over the best structure of this formula in the dataset (eV per atom): 1.683

Structure (extended XYZ):
```
5
Lattice="-0.920 -0.813 -4.231 -2.380 -3.510 1.192 -3.591 2.534 0.294" Properties=species:S:1:pos:R:3 pbc="T T T"
K 0.000 0.000 0.000
Te -3.446 -0.895 -1.372
Fe -1.190 -1.755 0.596
Fe -1.796 1.267 0.147
Fe -0.460 -0.407 -2.115
```

=====

VASP calculation (PBE-GGA) on a relaxed structure of KFeTe2.

Results
Calculated volume (Å³/f.u.): 126.30
Raw formation energy (eV per atom): -0.1149

Structure (extended XYZ):
```
4
Lattice="3.448 0.000 0.000 0.000 4.118 0.000 0.000 0.000 8.896" Properties=species:S:1:pos:R:3 pbc="T T T"
Fe 0.000 0.000 2.727
K 1.724 2.059 6.944
Te 0.000 0.000 0.179
Te 1.724 2.059 3.493
```

=====

VASP calculation (PBE-GGA) on a relaxed structure of KFeTe2.

Results
Calculated volume (Å³/f.u.): 152.89
Raw formation energy (eV per atom): -0.2108

Structure (extended XYZ):
```
4
Lattice="-5.572 -2.882 3.236 -6.298 -3.177 -0.267 4.286 -4.815 -0.483" Properties=species:S:1:pos:R:3 pbc="T T T"
Fe -1.749 -6.245 0.888
K -2.840 -2.177 0.772
Te 0.042 -0.246 0.012
Te -6.830 -7.643 2.058
```